The following is a PBE+U calculation of a relaxed VOsO3 crystal, from Alexandria.

Summary:
As for the volume: 56.4 Å³/cell. Its total energy is -6.87 eV per atom. The value obtained for the total magnetic moment is 4.84 μB per formula unit. The space group is Pm-3m.

Cell lengths 3.835, 3.835, 3.835 Å; angles 90.00, 90.00, 90.00 degrees
Each line ends with the local moment (μB).
Atoms (fractional coordinates):
1 Os 0.500 0.500 0.500  3.16
2 O 0.000 0.500 0.000  0.07
3 O 0.000 0.000 0.500  0.07
4 O 0.500 0.000 0.000  0.07
5 V 0.000 0.000 0.000  1.12